Below is a relaxed structure of ScIrC3, with properties calculated at the PBE level.

a b c (Å): 3.974 3.974 3.974
angles (deg): 90.00 90.00 90.00
Fractional positions:
C 0.500 0.000 0.000
C 0.000 0.500 0.000
C 0.000 0.000 0.500
Sc 0.500 0.500 0.500
Ir 0.000 0.000 0.000

Computed properties:
* calculated formation energy: 1468.8 meV per atom
* space group: Pm-3m (221)
* N(E_F): 0.928 states/eV/atom
* excess energy over the best structure of this formula in the dataset: 0.00 eV/f.u.


Below is a relaxed structure of Pr3Er3PuSe8, with properties calculated at the PBE level.

a b c (Å): 8.236 8.236 8.334
angles (deg): 119.61 90.00 120.00
Each line ends with the local moment (μB).
Fractional positions:
Er 0.500 0.500 0.500  -0.06
Er 0.500 0.000 0.500  -0.06
Er 0.000 0.500 0.500  -0.06
Pr 0.000 0.500 0.000  -0.05
Pr 0.000 0.000 0.000  -0.05
Pr 0.500 0.500 0.000  -0.05
Se 0.266 0.013 0.260  0.02
Se 0.747 0.494 0.260  0.02
Se 0.253 0.987 0.740  0.02
Se 0.744 0.487 0.731  0.00
Se 0.734 0.987 0.740  0.02
Se 0.253 0.506 0.740  0.02
Se 0.747 0.013 0.260  0.02
Se 0.256 0.513 0.269  0.00
Pu 0.000 0.000 0.500  -5.41

Computed properties:
* space group: R-3m (166)
* N(E_F): 1.084 states/eV/atom
* formation energy (no corrections): -1.790 eV/atom


Below is a relaxed structure of Li2Al2Bi, with properties calculated at the PBE level.

a b c (Å): 4.064 4.064 7.183
angles (deg): 73.57 73.57 90.00
Fractional positions:
Al 0.401 0.401 0.198
Al 0.599 0.599 0.802
Bi 0.000 0.000 0.000
Li 0.250 0.750 0.500
Li 0.750 0.250 0.500

Computed properties:
* calculated formation energy: 53.7 meV per atom
* space group: I4/mmm (139)
* N(E_F): 0.290 states/eV/atom
* excess energy over the best structure of this formula in the dataset: 0.50 eV/f.u.


Below is a relaxed structure of PuHfMnCo, with properties calculated at the PBE level.

a b c (Å): 4.567 4.567 4.567
angles (deg): 60.00 60.00 60.00
Each line ends with the local moment (μB).
Fractional positions:
Pu 0.750 0.750 0.750  5.04
Hf 0.250 0.250 0.250  0.35
Mn 0.000 0.000 0.000  -1.90
Co 0.500 0.500 0.500  -0.84

Computed properties:
* calculated formation energy: -35.3 meV per atom
* space group: F-43m (216)
* N(E_F): 1.414 states/eV/atom


Below is a relaxed structure of La2HgSb, with properties calculated at the PBE level.

a b c (Å): 4.797 7.021 6.547
angles (deg): 37.88 90.00 90.00
Fractional positions:
La 0.000 0.000 0.000
La 0.500 0.500 0.000
Sb 0.500 0.500 0.500
Hg 0.000 0.000 0.500

Computed properties:
* space group: P2/m (10)
* N(E_F): 1.208 states/eV/atom
* formation energy (no corrections): -0.736 eV/atom
* excess energy over the best structure of this formula in the dataset: 0.38 eV/f.u.


Below is a relaxed structure of CeEr2PuP4, with properties calculated at the PBE level.

a b c (Å): 4.011 6.939 6.925
angles (deg): 109.61 90.00 90.00
Each line ends with the local moment (μB).
Fractional positions:
Er 0.000 0.500 0.500  -0.01
Er 0.500 0.000 0.500  0.02
Pu 0.000 0.000 0.000  4.98
P 0.000 0.247 0.746  -0.04
P 0.500 0.753 0.749  -0.07
P 0.000 0.753 0.254  -0.04
P 0.500 0.247 0.251  -0.07
Ce 0.500 0.500 0.000  0.46

Computed properties:
* calculated formation energy: -1467.6 meV per atom
* space group: P2/m (10)
* N(E_F): 1.638 states/eV/atom


Below is a relaxed structure of SmSn4Rh, with properties calculated at the PBE level.

a b c (Å): 6.562 7.425 6.752
angles (deg): 106.56 100.57 100.81
Fractional positions:
Sn 0.841 0.832 0.561
Sn 0.339 0.018 0.827
Sn 0.641 0.415 0.170
Sn 0.326 0.621 0.343
Sn 0.159 0.168 0.439
Sn 0.674 0.379 0.657
Sn 0.661 0.982 0.173
Sn 0.359 0.585 0.830
Sm 0.010 0.761 0.036
Sm 0.990 0.239 0.964
Rh 0.000 0.500 0.500
Rh 0.500 0.000 0.500

Computed properties:
* calculated formation energy: -366.9 meV per atom
* space group: P-1 (2)
* N(E_F): 0.462 states/eV/atom


Below is a relaxed structure of CePrSmPb, with properties calculated at the PBE level.

a b c (Å): 5.565 5.565 5.565
angles (deg): 60.00 60.00 60.00
Each line ends with the local moment (μB).
Fractional positions:
Pb 0.250 0.250 0.250  -0.01
Pr 0.000 0.000 0.000  -0.01
Ce 0.750 0.750 0.750  0.58
Sm 0.500 0.500 0.500  -0.01

Computed properties:
* calculated formation energy: -92.3 meV per atom
* space group: F-43m (216)
* N(E_F): 2.220 states/eV/atom


Below is a relaxed structure of Bi2Pd3Se2, with properties calculated at the PBE level.

a b c (Å): 3.890 5.883 7.071
angles (deg): 85.23 105.97 90.00
Fractional positions:
Pd 0.000 0.000 0.000
Pd 0.295 0.640 0.590
Pd 0.705 0.360 0.410
Se 0.915 0.647 0.830
Se 0.085 0.353 0.170
Bi 0.341 0.129 0.682
Bi 0.659 0.871 0.318

Computed properties:
* space group: C2/m (12)
* N(E_F): 0.435 states/eV/atom
* formation energy (no corrections): -0.267 eV/atom


Below is a relaxed structure of P2IrSO, with properties calculated at the PBE level.

a b c (Å): 4.570 4.570 4.635
angles (deg): 90.00 90.00 90.00
Fractional positions:
S 0.000 0.000 0.500
P 0.500 0.000 0.000
P 0.000 0.500 0.000
O 0.500 0.500 0.500
Ir 0.000 0.000 0.000

Computed properties:
* space group: P4/mmm (123)
* N(E_F): 1.353 states/eV/atom
* formation energy (no corrections): 1.147 eV/atom
* excess energy over the best structure of this formula in the dataset: 3.79 eV/f.u.


Below is a relaxed structure of LaCr2Ag, with properties calculated at the PBE level.

a b c (Å): 5.661 5.703 3.158
angles (deg): 83.11 77.38 118.05
Each line ends with the local moment (μB).
Fractional positions:
Ag 0.500 0.000 0.500  0.02
Cr 0.000 0.500 0.500  3.47
Cr 0.000 0.000 0.000  3.47
La 0.500 0.500 0.000  -0.15

Computed properties:
* calculated formation energy: 720.0 meV per atom
* space group: C2/m (12)
* N(E_F): 0.953 states/eV/atom
* excess energy over the best structure of this formula in the dataset: 1.70 eV/f.u.


Below is a relaxed structure of Nd2GePb, with properties calculated at the PBE level.

a b c (Å): 4.264 4.264 8.308
angles (deg): 75.13 75.13 60.00
Fractional positions:
Pb 0.500 0.500 0.500
Nd 0.737 0.737 0.788
Nd 0.263 0.263 0.212
Ge 0.000 0.000 0.000

Computed properties:
* calculated formation energy: -577.8 meV per atom
* space group: R-3m (166)
* N(E_F): 0.929 states/eV/atom


Below is a relaxed structure of Sm2MnAl, with properties calculated at the PBE level.

a b c (Å): 3.341 3.341 10.933
angles (deg): 81.21 81.21 60.00
Each line ends with the local moment (μB).
Fractional positions:
Sm 0.090 0.090 0.729  -0.19
Sm 0.910 0.910 0.271  -0.19
Mn 0.000 0.000 0.000  3.76
Al 0.500 0.500 0.500  0.00

Computed properties:
* calculated formation energy: 455.2 meV per atom
* space group: R-3m (166)
* N(E_F): 0.844 states/eV/atom
* excess energy over the best structure of this formula in the dataset: 1.99 eV/f.u.


Below is a relaxed structure of SbOsI2O, with properties calculated at the PBE level.

a b c (Å): 5.681 5.681 3.750
angles (deg): 90.00 90.00 90.00
Fractional positions:
O 0.000 0.000 0.500
I 0.000 0.500 0.000
I 0.500 0.000 0.000
Sb 0.500 0.500 0.500
Os 0.000 0.000 0.000

Computed properties:
* space group: P4/mmm (123)
* N(E_F): 1.094 states/eV/atom
* formation energy (no corrections): 0.182 eV/atom
* excess energy over the best structure of this formula in the dataset: 0.00 eV/f.u.


Below is a relaxed structure of Ti2NbW, with properties calculated at the PBE level.

a b c (Å): 3.227 5.362 5.362
angles (deg): 50.87 72.59 72.59
Fractional positions:
Ti 0.985 0.015 0.015
Ti 0.515 0.485 0.485
Nb 0.750 0.750 0.750
W 0.250 0.250 0.250

Computed properties:
* calculated formation energy: -8.0 meV per atom
* space group: C2/m (12)
* N(E_F): 1.348 states/eV/atom
* excess energy over the best structure of this formula in the dataset: 0.00 eV/f.u.


Below is a relaxed structure of Ta2TlTe, with properties calculated at the PBE level.

a b c (Å): 3.480 3.478 7.810
angles (deg): 90.00 90.00 90.00
Fractional positions:
Ta 0.000 0.000 0.041
Ta 0.500 0.500 0.225
Tl 0.500 0.500 0.808
Te 0.000 0.000 0.426

Computed properties:
* space group: P4mm (99)
* N(E_F): 0.855 states/eV/atom
* formation energy (no corrections): 0.169 eV/atom
* excess energy over the best structure of this formula in the dataset: 0.00 eV/f.u.


Below is a relaxed structure of TbCePmLu, with properties calculated at the PBE level.

a b c (Å): 5.674 5.674 5.674
angles (deg): 60.00 60.00 60.00
Each line ends with the local moment (μB).
Fractional positions:
Ce 0.250 0.250 0.250  1.11
Lu 0.750 0.750 0.750  0.32
Pm 0.500 0.500 0.500  0.33
Tb 0.000 0.000 0.000  0.39

Computed properties:
* calculated formation energy: 192.3 meV per atom
* space group: F-43m (216)
* N(E_F): 2.523 states/eV/atom


Below is a relaxed structure of P2AuBr, with properties calculated at the PBE level.

a b c (Å): 4.113 4.555 6.016
angles (deg): 79.59 90.00 90.00
Fractional positions:
Br 0.500 0.546 0.787
P 0.000 0.083 0.215
P 0.500 0.305 0.156
Au 0.000 0.566 0.341

Computed properties:
* space group: Pm (6)
* N(E_F): 0.277 states/eV/atom
* formation energy (no corrections): 0.178 eV/atom
* excess energy over the best structure of this formula in the dataset: 0.27 eV/f.u.


Below is a relaxed structure of Zn2CuSnAu4, with properties calculated at the PBE level.

a b c (Å): 4.475 4.475 8.595
angles (deg): 74.91 74.91 60.00
Fractional positions:
Au 0.128 0.128 0.617
Au 0.611 0.611 0.166
Au 0.389 0.389 0.834
Au 0.872 0.872 0.383
Sn 0.000 0.000 0.000
Zn 0.238 0.238 0.287
Zn 0.762 0.762 0.713
Cu 0.500 0.500 0.500

Computed properties:
* calculated formation energy: -106.6 meV per atom
* space group: R-3m (166)
* N(E_F): 0.236 states/eV/atom


Below is a relaxed structure of B2C, with properties calculated at the PBE level.

a b c (Å): 4.467 4.467 8.716
angles (deg): 59.11 59.11 34.79
Fractional positions:
C 0.025 0.025 0.508
C 0.838 0.838 0.696
C 0.184 0.184 0.540
C 0.177 0.177 0.034
B 0.555 0.555 0.382
B 0.813 0.813 0.217
B 0.366 0.366 0.331
B 0.015 0.015 0.986
B 0.630 0.630 0.158
B 0.291 0.291 0.807
B 0.395 0.395 0.975
B 0.711 0.711 0.616

Computed properties:
* calculated formation energy: 350.0 meV per atom
* space group: Cm (8)
* N(E_F): 0.138 states/eV/atom
* excess energy over the best structure of this formula in the dataset: 0.49 eV/f.u.


Below is a relaxed structure of BaNbI6, with properties calculated at the PBE level.

a b c (Å): 7.642 9.407 7.593
angles (deg): 109.26 98.45 125.12
Each line ends with the local moment (μB).
Fractional positions:
I 0.441 0.752 0.000  -0.02
I 0.889 0.157 0.682  -0.01
I 0.111 0.843 0.318  -0.01
I 0.559 0.248 0.000  -0.02
I 0.207 0.475 0.318  -0.01
I 0.793 0.525 0.682  -0.01
Nb 0.000 0.500 0.000  0.90
Ba 0.000 0.000 0.000  0.01

Computed properties:
* space group: C2/m (12)
* N(E_F): 0.708 states/eV/atom
* formation energy (no corrections): -0.858 eV/atom


Below is a relaxed structure of Nd2Se2S, with properties calculated at the PBE level.

a b c (Å): 4.157 5.860 7.438
angles (deg): 113.20 106.23 90.00
Fractional positions:
Se 0.686 0.686 0.371
Se 0.314 0.314 0.629
Nd 0.654 0.154 0.308
Nd 0.346 0.846 0.692
S 0.000 0.000 0.000

Computed properties:
* space group: Immm (71)
* formation energy (no corrections): -1.894 eV/atom
* excess energy over the best structure of this formula in the dataset: 0.24 eV/f.u.


Below is a relaxed structure of TiGaAsP2, with properties calculated at the PBE level.

a b c (Å): 4.677 5.012 4.677
angles (deg): 90.00 90.00 90.00
Fractional positions:
P 0.000 0.000 0.500
P 0.500 0.000 0.000
Ga 0.000 0.500 0.000
Ti 0.000 0.000 0.000
As 0.500 0.500 0.500

Computed properties:
* calculated formation energy: 480.1 meV per atom
* space group: P4/mmm (123)
* N(E_F): 0.763 states/eV/atom


Below is a relaxed structure of Mn2SiGePb, with properties calculated at the PBE level.

a b c (Å): 4.887 5.247 4.887
angles (deg): 90.00 90.00 90.00
Each line ends with the local moment (μB).
Fractional positions:
Mn 0.000 0.000 0.500  0.10
Mn 0.500 0.000 0.000  0.04
Ge 0.000 0.500 0.000  -0.03
Si 0.500 0.500 0.500  0.05
Pb 0.000 0.000 0.000  0.00

Computed properties:
* space group: P4/mmm (123)
* N(E_F): 1.659 states/eV/atom
* formation energy (no corrections): 2.168 eV/atom


Below is a relaxed structure of PmHgS3, with properties calculated at the PBE level.

a b c (Å): 5.424 7.733 8.299
angles (deg): 53.68 82.04 72.44
Fractional positions:
S 0.461 0.176 0.722
S 0.787 0.426 0.877
S 0.539 0.824 0.278
S 0.906 0.215 0.266
S 0.213 0.574 0.123
S 0.094 0.785 0.734
Hg 0.829 0.803 0.491
Hg 0.171 0.197 0.509
Pm 0.319 0.282 0.996
Pm 0.681 0.718 0.004

Computed properties:
* space group: P-1 (2)
* formation energy (no corrections): -0.855 eV/atom


Below is a relaxed structure of MnCr, with properties calculated at the PBE level.

a b c (Å): 2.817 4.665 5.662
angles (deg): 72.29 90.00 72.43
Each line ends with the local moment (μB).
Fractional positions:
Mn 0.967 0.065 0.450  0.56
Mn 0.639 0.722 0.278  0.46
Mn 0.310 0.379 0.105  0.56
Cr 0.302 0.397 0.610  -0.10
Cr 0.639 0.722 0.778  -0.08
Cr 0.976 0.048 0.945  -0.10

Computed properties:
* calculated formation energy: 67.0 meV per atom
* space group: C2/m (12)
* N(E_F): 1.368 states/eV/atom


Ordered energy results: -7.104, -6.473, -2.985, -10.175, -4.306, -7.846, -5.047, -4.877, -4.597, -4.606, -6.036, -5.043, -5.132, -4.500, -9.711, -7.134, -4.767, -3.764, -3.076, -7.176, -3.519, -6.020, -4.798, -4.250, -4.342, -9.329; unit eV/atom.